The following is a GGA-PBE calculation of a relaxed Tm2LuTc crystal, from Alexandria.

Values from the calculation:
E_form = 146 meV/atom
total moment = 0.000 μB/atom
polymorph energy (0 for the lowest one) = 162.1 meV/atom

Cell lengths 3.4029, 3.4029, 30.3109 Å; angles 90.00, 90.00, 120.00 degrees
Space group R-3m (No. 166, hexagonal axes)
Inequivalent atoms, fractional coordinates:
1 Tm 0.0000 0.0000 0.2331 x6
2 Lu 0.0000 0.0000 0.0000 x3
3 Tc 0.0000 0.0000 0.5000 x3

---

The following is a GGA-PBE calculation of a relaxed TmLuTc crystal, from Alexandria.

Values from the calculation:
E_form = -124 meV/atom
total moment = 0.000 μB/atom

Cell lengths 3.4224, 3.4224, 12.0623 Å; angles 90.00, 90.00, 90.00 degrees
Space group I4mm (No. 107)
Inequivalent atoms, fractional coordinates:
1 Tm 0.0000 0.0000 0.0000 x2
2 Lu 0.0000 0.0000 0.2637 x2
3 Tc 0.0000 0.0000 0.6331 x2

---

The following is a GGA-PBE calculation of a relaxed Tm2LuTc crystal, from Alexandria.

Values from the calculation:
E_form = -16 meV/atom
total moment = 0.000 μB/atom
polymorph energy (0 for the lowest one) = 0.0 meV/atom

Cell lengths 3.4341, 3.4341, 8.5116 Å; angles 90.00, 90.00, 90.00 degrees
Space group P4/mmm (No. 123)
Inequivalent atoms, fractional coordinates:
1 Tm 0.0000 0.0000 0.1888 x2
2 Lu 0.5000 0.5000 0.5000 x1
3 Tc 0.5000 0.5000 0.0000 x1

---

> What is the formula in the second record?

TmLuTc

---

Copy entry 3 word for word.
The following is a GGA-PBE calculation of a relaxed Tm2LuTc crystal, from Alexandria.

Values from the calculation:
E_form = -16 meV/atom
total moment = 0.000 μB/atom
polymorph energy (0 for the lowest one) = 0.0 meV/atom

Cell lengths 3.4341, 3.4341, 8.5116 Å; angles 90.00, 90.00, 90.00 degrees
Space group P4/mmm (No. 123)
Inequivalent atoms, fractional coordinates:
1 Tm 0.0000 0.0000 0.1888 x2
2 Lu 0.5000 0.5000 0.5000 x1
3 Tc 0.5000 0.5000 0.0000 x1

---

> What is the E_form in the third record?

-16 meV/atom

---

> What is the formula in the second record?

TmLuTc